# SbIrOs

An optimized crystal structure of SbIrOs (PBE, Alexandria via LeMat-Bulk).

```
data_SbIrOs
_chemical_formula_sum 'Sb2 Ir2 Os2'
_symmetry_space_group_name_H-M 'I 4 m m'
_symmetry_Int_Tables_number 107
_symmetry_space_group_name_Hall 'I 4 -2'
_cell_length_a 2.9973
_cell_length_b 2.9973
_cell_length_c 11.4329
_cell_angle_alpha 90.00
_cell_angle_beta 90.00
_cell_angle_gamma 90.00
loop_
_atom_site_label
_atom_site_type_symbol
_atom_site_fract_x
_atom_site_fract_y
_atom_site_fract_z
_atom_site_occupancy
Sb1 Sb 0.0000 0.0000 0.0000 1
Ir1 Ir 0.0000 0.0000 0.3168 1
Os1 Os 0.0000 0.0000 0.6720 1
```

Calculated values
- ΔE to the lowest computed polymorph (meV/atom) = 157
- density of states at the Fermi level (states/eV per cell) = 7.60
- total DFT energy (no corrections) (eV/atom) = -7.486
- ΔE_f (raw) (eV/atom) = 0.585